<w>
This record from Alexandria via LeMat-Bulk describes a relaxed Sm2Tm7Sc2 crystal. The functional is PBE.

Results
The calculation puts the density of states at the Fermi level at 18.0 states/eV/cell.

a b c (Å): 9.142 5.037 9.142
angles (deg): 81.29 78.21 98.71
Fractional positions:
Sm (0.690, 0.000, 0.690)
Sm (0.310, 0.000, 0.310)
Tm (0.049, 0.100, 0.713)
Tm (0.287, 0.100, 0.951)
Tm (0.416, 0.225, 0.584)
Tm (0.000, 0.500, 0.000)
Tm (0.584, 0.775, 0.416)
Tm (0.951, 0.900, 0.287)
Tm (0.713, 0.900, 0.049)
Sc (0.286, 0.673, 0.714)
Sc (0.714, 0.327, 0.286)


<x>
This record from Alexandria via LeMat-Bulk describes a relaxed Sm2Tm7Sc2 crystal. The functional is PBE.

Results
The calculation puts the density of states at the Fermi level at 19.0 states/eV/cell.

a b c (Å): 8.367 6.443 6.443
angles (deg): 93.26 79.26 79.26
Fractional positions:
Sm (0.500, 0.316, 0.684)
Sm (0.500, 0.684, 0.316)
Tm (0.185, 0.105, 0.471)
Tm (0.815, 0.529, 0.895)
Tm (0.815, 0.895, 0.529)
Tm (0.185, 0.471, 0.105)
Tm (0.000, 0.000, 0.000)
Tm (0.417, 0.840, 0.840)
Tm (0.583, 0.160, 0.160)
Sc (0.840, 0.385, 0.385)
Sc (0.160, 0.615, 0.615)


Winner for stability: <x>


<w>
This record from Alexandria via LeMat-Bulk describes a relaxed SmTm12Sc7 crystal. The functional is PBE.

Results
The calculation puts the density of states at the Fermi level at 36.7 states/eV/cell.

a b c (Å): 9.591 9.591 9.591
angles (deg): 112.71 112.71 112.71
Fractional positions:
Sm (0.000, 0.000, 0.000)
Tm (0.000, 0.282, 0.718)
Tm (0.718, 0.282, 0.000)
Tm (0.429, 0.096, 0.429)
Tm (0.904, 0.571, 0.571)
Tm (0.282, 0.000, 0.718)
Tm (0.571, 0.571, 0.904)
Tm (0.429, 0.429, 0.096)
Tm (0.718, 0.000, 0.282)
Tm (0.096, 0.429, 0.429)
Tm (0.571, 0.904, 0.571)
Tm (0.282, 0.718, 0.000)
Tm (0.000, 0.718, 0.282)
Sc (0.844, 0.513, 0.844)
Sc (0.487, 0.156, 0.156)
Sc (0.156, 0.156, 0.487)
Sc (0.500, 0.500, 0.500)
Sc (0.844, 0.844, 0.513)
Sc (0.513, 0.844, 0.844)
Sc (0.156, 0.487, 0.156)


<x>
This record from Alexandria via LeMat-Bulk describes a relaxed SmTm12Sc7 crystal. The functional is PBE.

Results
The calculation puts the density of states at the Fermi level at 32.7 states/eV/cell.

a b c (Å): 9.385 9.385 9.385
angles (deg): 109.47 109.47 109.47
Fractional positions:
Sm (0.000, 0.000, 0.000)
Tm (0.477, 0.739, 0.738)
Tm (0.002, 0.739, 0.262)
Tm (0.523, 0.261, 0.262)
Tm (0.998, 0.261, 0.738)
Tm (0.738, 0.998, 0.261)
Tm (0.738, 0.477, 0.739)
Tm (0.262, 0.002, 0.739)
Tm (0.262, 0.523, 0.261)
Tm (0.739, 0.738, 0.477)
Tm (0.261, 0.262, 0.523)
Tm (0.739, 0.262, 0.002)
Tm (0.261, 0.738, 0.998)
Sc (0.500, 0.500, 0.000)
Sc (0.000, 0.500, 0.500)
Sc (0.500, 0.000, 0.500)
Sc (0.500, 0.500, 0.500)
Sc (0.000, 0.000, 0.500)
Sc (0.500, 0.000, 0.000)
Sc (0.000, 0.500, 0.000)


Winner for stability: <w>


<w>
This record from Alexandria via LeMat-Bulk describes a relaxed SmTmScZn crystal. The functional is PBE.

Results
The calculation puts the density of states at the Fermi level at 3.8 states/eV/cell.

a b c (Å): 3.457 3.457 8.485
angles (deg): 90.00 90.00 90.00
Fractional positions:
Sm (0.000, 0.000, 0.083)
Tm (0.500, 0.500, 0.774)
Sc (0.500, 0.500, 0.373)
Zn (0.000, 0.000, 0.555)


<x>
This record from Alexandria via LeMat-Bulk describes a relaxed SmTmScZn crystal. The functional is PBE.

Results
The calculation puts the density of states at the Fermi level at 4.6 states/eV/cell.

a b c (Å): 5.227 5.227 5.227
angles (deg): 60.00 60.00 60.00
Fractional positions:
Sc (0.500, 0.500, 0.500)
Zn (0.000, 0.000, 0.000)
Tm (0.750, 0.750, 0.750)
Sm (0.250, 0.250, 0.250)


Winner for stability: <w>